(1)
# TiBeCu2 | Alexandria via LeMat-Bulk | PBE | relaxed
data_TiBeCu2
_cell_length_a 2.7284
_cell_length_b 2.7284
_cell_length_c 6.4674
_cell_angle_alpha 90.00
_cell_angle_beta 90.00
_cell_angle_gamma 90.00
_space_group_name_H-M_alt 'P 1'
_space_group_IT_number 1
loop_
_space_group_symop_operation_xyz
'x,y,z'
loop_
_atom_site_label
_atom_site_fract_x
_atom_site_fract_y
_atom_site_fract_z
Ti1 0.0000 0.0000 0.0000
Be1 0.0000 0.0000 0.5000
Cu1 0.5000 0.5000 0.2971
Cu2 0.5000 0.5000 0.7029
# space group	P4/mmm, No. 123
# energy relative to the elements	-77	meV/atom

(2)
# NaCSe2 | Alexandria via LeMat-Bulk | PBE | relaxed
data_NaCSe2
_cell_length_a 8.4430
_cell_length_b 8.4430
_cell_length_c 8.4430
_cell_angle_alpha 22.67
_cell_angle_beta 22.67
_cell_angle_gamma 22.67
_space_group_name_H-M_alt 'P 1'
_space_group_IT_number 1
loop_
_space_group_symop_operation_xyz
'x,y,z'
loop_
_atom_site_label
_atom_site_fract_x
_atom_site_fract_y
_atom_site_fract_z
Na1 0.0000 0.0000 0.0000
C1 0.5000 0.5000 0.5000
Se1 0.1120 0.1120 0.1120
Se2 0.8880 0.8880 0.8880
# space group	R-3m, No. 166
# uncorrected formation energy	0.968	eV/atom

(3)
# K3In5Au2 | Alexandria via LeMat-Bulk | PBE | relaxed
data_K3In5Au2
_cell_length_a 10.1095
_cell_length_b 10.1095
_cell_length_c 10.1095
_cell_angle_alpha 104.97
_cell_angle_beta 89.37
_cell_angle_gamma 138.82
_space_group_name_H-M_alt 'P 1'
_space_group_IT_number 1
loop_
_space_group_symop_operation_xyz
'x,y,z'
loop_
_atom_site_label
_atom_site_fract_x
_atom_site_fract_y
_atom_site_fract_z
K1 0.1302 0.7450 0.8752
K2 0.2500 0.2500 0.0000
K3 0.3698 0.2450 0.6149
K4 0.6302 0.7550 0.3851
K5 0.7500 0.7500 0.0000
K6 0.8698 0.2550 0.1248
In1 0.0045 0.7500 0.2545
In2 0.1185 0.3560 0.4745
In3 0.2500 0.7500 0.5000
In4 0.3815 0.8560 0.2375
In5 0.4955 0.7500 0.7455
In6 0.5045 0.2500 0.2545
In7 0.6185 0.1440 0.7625
In8 0.7500 0.2500 0.5000
In9 0.8815 0.6440 0.5255
In10 0.9955 0.2500 0.7455
Au1 0.1560 0.1381 0.2941
Au2 0.3440 0.6381 0.9821
Au3 0.6560 0.3619 0.0179
Au4 0.8440 0.8619 0.7059
# space group	Ibam, No. 72
# energy relative to the elements	-217	meV/atom

(4)
# BaTl2FePt | Alexandria via LeMat-Bulk | PBE | relaxed
data_BaTl2FePt
_cell_length_a 6.4765
_cell_length_b 6.4765
_cell_length_c 5.4416
_cell_angle_alpha 90.00
_cell_angle_beta 90.00
_cell_angle_gamma 90.00
_space_group_name_H-M_alt 'P 1'
_space_group_IT_number 1
loop_
_space_group_symop_operation_xyz
'x,y,z'
loop_
_atom_site_label
_atom_site_fract_x
_atom_site_fract_y
_atom_site_fract_z
Ba1 0.0000 0.0000 0.0000
Tl1 0.0000 0.5000 0.0000
Tl2 0.5000 0.0000 0.0000
Fe1 0.5000 0.5000 0.5000
Pt1 0.0000 0.0000 0.5000
# space group	P4/mmm, No. 123
# energy relative to the elements	1397	meV/atom

(5)
# K2NpCoS4 | Alexandria via LeMat-Bulk | PBE | relaxed
data_K2NpCoS4
_cell_length_a 6.7622
_cell_length_b 6.7622
_cell_length_c 6.7622
_cell_angle_alpha 115.61
_cell_angle_beta 115.61
_cell_angle_gamma 97.79
_space_group_name_H-M_alt 'P 1'
_space_group_IT_number 1
loop_
_space_group_symop_operation_xyz
'x,y,z'
loop_
_atom_site_label
_atom_site_fract_x
_atom_site_fract_y
_atom_site_fract_z
K1 0.0000 0.0000 0.0000
K2 0.7500 0.2500 0.5000
Np1 0.5000 0.5000 0.0000
Co1 0.2500 0.7500 0.5000
S1 0.2074 0.6447 0.1132
S2 0.3553 0.4685 0.5628
S3 0.5315 0.0943 0.8868
S4 0.9057 0.7926 0.4372
# space group	I-4, No. 82
# uncorrected formation energy	-0.833	eV/atom

(6)
# Pm12GaSi5 | Alexandria via LeMat-Bulk | PBE | relaxed
data_Pm12GaSi5
_cell_length_a 8.6520
_cell_length_b 8.6520
_cell_length_c 8.6520
_cell_angle_alpha 111.62
_cell_angle_beta 110.07
_cell_angle_gamma 106.77
_space_group_name_H-M_alt 'P 1'
_space_group_IT_number 1
loop_
_space_group_symop_operation_xyz
'x,y,z'
loop_
_atom_site_label
_atom_site_fract_x
_atom_site_fract_y
_atom_site_fract_z
Pm1 0.0436 0.2413 0.8022
Pm2 0.1786 0.2674 0.4460
Pm3 0.1786 0.7326 0.9111
Pm4 0.3235 0.0317 0.7082
Pm5 0.3235 0.6153 0.2918
Pm6 0.4391 0.2413 0.1978
Pm7 0.5609 0.7587 0.8022
Pm8 0.6765 0.3847 0.7082
Pm9 0.6765 0.9683 0.2918
Pm10 0.8214 0.2674 0.0889
Pm11 0.8214 0.7326 0.5540
Pm12 0.9564 0.7587 0.1978
Ga1 0.5000 0.5000 0.0000
Si1 0.0000 0.0000 0.0000
Si2 0.1149 0.6149 0.5000
Si3 0.3746 0.0000 0.3746
Si4 0.6254 0.0000 0.6254
Si5 0.8851 0.3851 0.5000
# space group	Immm, No. 71
# uncorrected formation energy	-0.500	eV/atom